Record 1
LaCeGe2 | GGA-PBE | relaxed

a = 4.1098 Å, b = 6.0231 Å, c = 8.3692 Å
α = 90.00°, β = 90.00°, γ = 90.00°
Last column: nearest neighbours and their distance in Å.
Space group Pmc2_1 (No. 26)
Unique sites:
La 0.0000 0.1296 0.0000 [2 per cell]  7 Ge 3.12-3.37
Ce 0.5000 0.3670 0.6355 [2 per cell]  7 Ge 3.12-3.31
Ge 0.0000 0.3930 0.3557 [2 per cell]  2 Ge 2.69
Ge 0.5000 0.1226 0.2815 [2 per cell]  2 Ge 2.69

Values from the calculation:
Energy   -5.78 eV per atom
Energy of formation from the pure elements   -3.04 eV per formula unit
DOS(E_F)   16.30 states/eV/cell



Record 2
LaCeGe | GGA-PBE | relaxed

a = 7.3095 Å, b = 5.2939 Å, c = 9.1856 Å
α = 90.00°, β = 110.65°, γ = 90.00°
Last column: nearest neighbours and their distance in Å.
Space group C2/m (No. 12)
Unique sites:
La 0.2034 0.0000 0.3913 [4 per cell]  4 Ge 3.00-3.29, 2 La 3.24, 1 Ce 3.26
Ce 0.1963 0.0000 0.9143 [4 per cell]  4 Ge 2.98-3.12, 2 Ce 3.04, 1 La 3.26
Ge 0.0075 0.5000 0.2407 [4 per cell]  4 Ce 2.98-3.12, 4 La 3.00-3.29

Values from the calculation:
Energy   -5.65 eV per atom
Energy of formation from the pure elements   -1.47 eV per formula unit
DOS(E_F)   24.61 states/eV/cell



Record 3
LaCeGe4 | GGA-PBE | relaxed

a = 8.9247 Å, b = 15.7752 Å, c = 4.1230 Å
α = 90.00°, β = 90.00°, γ = 90.00°
Last column: nearest neighbours and their distance in Å.
Space group Pbam (No. 55)
Unique sites:
La 0.0989 0.1387 0.0000 [4 per cell]  10 Ge 3.19-3.48
Ce 0.1189 0.4203 0.0000 [4 per cell]  10 Ge 3.05-3.20, 1 Ce 3.29
Ge 0.0188 0.2896 0.5000 [4 per cell]  3 Ge 2.49-2.64
Ge 0.1273 0.9643 0.5000 [4 per cell]  3 Ge 2.54-2.62
Ge 0.1533 0.5745 0.5000 [4 per cell]  2 Ge 2.62-2.64
Ge 0.2009 0.8078 0.5000 [4 per cell]  3 Ge 2.49-2.55

Values from the calculation:
Energy   -5.41 eV per atom
Polymorph energy (0 for the lowest one)   0 meV per atom
Energy of formation from the pure elements   -3.12 eV per formula unit
DOS(E_F)   24.06 states/eV/cell